No. 1
# BaRu2

A geometry-optimized BaRu2 structure (PBE, Alexandria via LeMat-Bulk).

The structure in extended XYZ format:
```
6
Lattice="3.8526 0.0000 0.0000 0.0000 6.1000 0.0000 0.0000 0.0000 7.3926" Properties=species:S:1:pos:R:3 pbc="T T T"
Ba 0.0000 0.0000 0.0000
Ba 1.9263 3.0500 3.6963
Ru 0.9608 3.0500 0.6302
Ru 0.9655 0.0000 4.3265
Ru 2.8919 3.0500 6.7625
Ru 2.8871 0.0000 3.0662
```

Calculated formation energy ... 1.0818 eV/atom
Symmetry ... No. 58

No. 2
# La5NdY2Tm

A geometry-optimized La5NdY2Tm structure (PBE, Alexandria via LeMat-Bulk).

The structure in extended XYZ format:
```
18
Lattice="-8.8315 -1.4530 3.5588 3.6848 -0.6609 8.8744 1.7787 7.9524 -5.3731" Properties=species:S:1:pos:R:3 pbc="T T T"
La -3.9514 4.6889 -0.1209
La -6.1696 0.5503 5.7188
La 2.8017 5.2882 1.3413
La -3.4778 0.3596 9.8138
La 0.0000 0.0000 0.0000
La -2.5733 -1.0570 6.2166
La -1.2596 4.4981 3.9741
La 0.1100 5.4789 -2.7537
La 0.5835 1.1496 7.1809
La -2.1082 1.3404 3.0860
Y -5.6387 -1.6980 8.5695
Y -4.9710 -0.9545 3.1207
Y 0.4921 -0.4159 3.8638
Y -0.1757 -1.1594 9.3125
Nd -0.3973 3.4477 0.4217
Nd -2.9706 2.3908 6.6383
Tm -4.8130 2.7213 2.2011
Tm 1.4451 3.1173 4.8590
```

Calculated formation energy ... 0.2964 eV/atom
Symmetry ... No. 140

No. 3
# LiThTlBr6

A geometry-optimized LiThTlBr6 structure (PBE, Alexandria via LeMat-Bulk).

The structure in extended XYZ format:
```
18
Lattice="-1.2278 5.0501 -5.1328 4.3102 -5.7148 -1.4562 -11.6410 -7.5872 -4.6804" Properties=species:S:1:pos:R:3 pbc="T T T"
Br -8.9009 -6.7445 -6.4579
Br -8.5239 -5.1070 -10.0503
Br -1.4656 -6.3398 -2.6407
Br -3.0505 -3.0091 -4.0979
Br -7.8744 -3.0137 -4.8997
Br -0.6843 -5.2382 -6.3697
Br 0.3423 -1.5073 -4.8114
Br 2.2164 -4.9004 -3.9722
Br -0.0348 -3.1449 -1.2190
Br -7.0931 -1.9121 -8.6287
Br -10.7750 -3.3515 -7.2972
Br -5.5081 -5.2428 -7.1715
Tl -5.8205 -3.7936 -2.3402
Tl 0.0000 0.0000 0.0000
Li -8.1126 -4.2286 -7.4175
Li -0.4461 -4.0233 -3.8518
Th -6.2666 -7.8169 -6.1920
Th -2.2921 -0.4350 -5.0773
```

Symmetry ... No. 163

No. 4
# RbVP2Cl

A geometry-optimized RbVP2Cl structure (PBE, Alexandria via LeMat-Bulk).

The structure in extended XYZ format:
```
5
Lattice="-4.3091 1.3748 -0.2629 -1.3542 -4.3101 -0.3420 -0.4427 -0.3085 5.6413" Properties=species:S:1:pos:R:3 pbc="T T T"
V 0.0000 0.0000 0.0000
P -0.6771 -2.1550 -0.1710
P -2.1545 0.6874 -0.1315
Cl -0.2213 -0.1543 2.8206
Rb -3.0530 -1.6219 2.5182
```

Excess energy over the best structure of this formula in the dataset ... 0 meV per atom
Symmetry ... No. 123

No. 5
# SmTm9Sc2

A geometry-optimized SmTm9Sc2 structure (PBE, Alexandria via LeMat-Bulk).

The structure in extended XYZ format:
```
12
Lattice="-1.7428 2.6292 1.3550 -6.9873 -0.3088 -8.3880 -1.9639 -5.9217 8.9639" Properties=species:S:1:pos:R:3 pbc="T T T"
Tm -0.9820 -2.9609 4.4820
Tm -4.4756 -3.1153 0.2880
Tm -3.4937 -0.1544 -4.1940
Tm -3.7418 -3.5944 6.5105
Tm -3.7473 0.1347 -0.7320
Tm -6.9523 -0.0070 -4.5795
Tm -7.8532 -2.7232 -0.4679
Tm -2.8409 -0.8781 2.3989
Tm -6.9468 -3.7360 2.6630
Sc -3.6384 -4.0508 3.1800
Sc -5.3129 -2.1798 -2.6040
Sm 0.0000 0.0000 0.0000
```

Calculated formation energy ... 0.0378 eV/atom
Excess energy over the best structure of this formula in the dataset ... 0 meV per atom
Symmetry ... No. 191

No. 6
# Cs4K2BeBi2

A geometry-optimized Cs4K2BeBi2 structure (PBE, Alexandria via LeMat-Bulk).

The structure in extended XYZ format:
```
9
Lattice="6.7152 0.1492 0.1015 1.6924 8.8518 -0.5224 1.6924 2.7643 8.4253" Properties=species:S:1:pos:R:3 pbc="T T T"
Cs 2.9455 2.6529 5.5595
Cs 2.9455 6.1452 0.4263
Cs 7.1544 5.6201 7.5782
Cs 7.1544 9.1124 2.4450
Bi 7.9222 9.9627 6.7781
Bi 2.1777 1.8026 1.2264
K 3.4122 7.3446 4.9969
K 6.6877 4.4207 3.0076
Be 3.3576 0.0746 0.0508
```

Calculated formation energy ... -0.1159 eV/atom
Symmetry ... No. 12

No. 7
# Hf4BeNi

A geometry-optimized Hf4BeNi structure (PBE, Alexandria via LeMat-Bulk).

The structure in extended XYZ format:
```
12
Lattice="6.2834 0.0000 0.0000 0.0000 6.2834 0.0000 -3.1417 -3.1417 5.5418" Properties=species:S:1:pos:R:3 pbc="T T T"
Hf 2.0926 5.2343 1.5434
Hf 5.2343 4.1908 1.5434
Hf 2.0926 1.0491 3.9983
Hf 1.0491 2.0926 1.5434
Hf -2.0926 -1.0491 3.9983
Hf -1.0491 2.0926 3.9983
Hf 4.1908 1.0491 1.5434
Hf 1.0491 -2.0926 3.9983
Ni 3.1417 3.1417 0.0000
Ni 0.0000 0.0000 0.0000
Be 0.0000 0.0000 2.7709
Be 3.1417 3.1417 2.7709
```

Calculated formation energy ... -0.0481 eV/atom
Excess energy over the best structure of this formula in the dataset ... 131 meV per atom
Symmetry ... No. 140

No. 8
# Li2ScPbO

A geometry-optimized Li2ScPbO structure (PBE, Alexandria via LeMat-Bulk).

The structure in extended XYZ format:
```
5
Lattice="-1.8789 -2.9832 -2.6529 1.9802 -3.2423 2.2435 -3.2592 -0.2212 2.5570" Properties=species:S:1:pos:R:3 pbc="T T T"
Li 0.9901 -1.6212 1.1218
Li -0.9394 -1.4916 -1.3264
Pb -1.5789 -3.2233 1.0738
O 0.0000 0.0000 0.0000
Sc -1.6296 -0.1106 1.2785
```

Symmetry ... No. 123

No. 9
# Mg2TiTcH

A geometry-optimized Mg2TiTcH structure (PBE, Alexandria via LeMat-Bulk).

The structure in extended XYZ format:
```
5
Lattice="-1.3690 -3.2863 -3.6950 3.1582 -0.6886 -0.5577 -0.2169 -3.7903 3.4515" Properties=species:S:1:pos:R:3 pbc="T T T"
Mg -0.1085 -1.8952 1.7258
Mg -0.6845 -1.6432 -1.8475
Tc 0.0000 0.0000 0.0000
H 1.5791 -0.3443 -0.2788
Ti 0.7861 -3.8826 -0.4006
```

Symmetry ... No. 123

No. 10
# PrZnAgAs2

A geometry-optimized PrZnAgAs2 structure (PBE, Alexandria via LeMat-Bulk).

The structure in extended XYZ format:
```
5
Lattice="4.3418 0.0000 0.0000 -2.1709 3.7601 0.0000 0.0000 0.0000 6.9874" Properties=species:S:1:pos:R:3 pbc="T T T"
Ag 0.0000 2.5068 4.4616
Zn 2.1709 1.2534 2.6188
As 2.1709 1.2534 5.2508
As 0.0000 2.5068 1.7410
Pr 0.0000 0.0000 6.8899
```

Calculated formation energy ... -0.6306 eV/atom
Symmetry ... No. 156

No. 11
# BaAsSeBr2

A geometry-optimized BaAsSeBr2 structure (PBE, Alexandria via LeMat-Bulk).

The structure in extended XYZ format:
```
5
Lattice="6.0735 0.0000 0.0000 0.0000 6.0735 0.0000 0.0000 0.0000 6.9439" Properties=species:S:1:pos:R:3 pbc="T T T"
Br 0.0000 3.0368 0.0000
Br 3.0368 0.0000 0.0000
Ba 0.0000 0.0000 0.0000
Se 3.0368 3.0368 3.4719
As 0.0000 0.0000 3.4719
```

Excess energy over the best structure of this formula in the dataset ... 981 meV per atom
Symmetry ... No. 123

No. 12
# PmTcB3Ru

A geometry-optimized PmTcB3Ru structure (PBE, Alexandria via LeMat-Bulk).

The structure in extended XYZ format:
```
12
Lattice="5.8391 0.0000 0.0000 0.0000 5.6249 0.0000 0.0000 -2.8125 5.1499" Properties=species:S:1:pos:R:3 pbc="T T T"
B 0.0000 4.1299 0.0000
B 2.9196 1.4950 0.0000
B 4.3793 2.8125 2.7060
B 0.0000 1.4950 0.0000
B 1.4598 0.0000 2.4439
B 2.9196 4.1299 0.0000
Ru 4.3793 2.8125 0.7239
Ru 1.4598 0.0000 4.4261
Pm 1.4598 2.8125 2.4869
Pm 4.3793 0.0000 2.6631
Tc 1.4598 0.0000 0.4768
Tc 4.3793 2.8125 4.6731
```

Calculated formation energy ... -0.3004 eV/atom
Symmetry ... No. 63

No. 13
# AlAgMo2

A geometry-optimized AlAgMo2 structure (PBE, Alexandria via LeMat-Bulk).

The structure in extended XYZ format:
```
4
Lattice="2.7181 0.0000 0.0000 0.0000 2.7181 0.0000 0.0000 0.0000 8.7210" Properties=species:S:1:pos:R:3 pbc="T T T"
Al 1.3591 1.3591 6.5896
Ag 0.0000 0.0000 4.4507
Mo 0.0000 0.0000 8.6111
Mo 1.3591 1.3591 2.1511
```

Calculated formation energy ... 0.1782 eV/atom
Symmetry ... No. 99

No. 14
# UCdBO6

A geometry-optimized UCdBO6 structure (PBE, Alexandria via LeMat-Bulk).

The structure in extended XYZ format:
```
9
Lattice="5.9557 0.0020 0.1953 2.9782 5.0449 1.6977 -0.1416 1.7768 5.6930" Properties=species:S:1:pos:R:3 pbc="T T T"
O 5.1090 2.3485 4.2090
O 7.1225 4.2163 2.9897
O 7.0767 4.2622 5.7971
O 4.2379 3.9304 2.7286
O 4.3917 4.9993 5.4312
O 3.4124 1.7091 2.5304
U 5.8143 4.5785 4.2840
Cd 2.5540 5.4778 6.7954
B 4.2419 2.5966 3.1642
```

Symmetry ... No. 1

No. 15
# Tl6SbAu2

A geometry-optimized Tl6SbAu2 structure (PBE, Alexandria via LeMat-Bulk).

The structure in extended XYZ format:
```
9
Lattice="-4.0588 -3.4105 -1.0114 0.8379 -5.3277 0.2029 -3.5442 -2.9225 9.6779" Properties=species:S:1:pos:R:3 pbc="T T T"
Tl -3.9325 -5.8326 6.6494
Tl -1.3182 -2.9137 0.7154
Tl -2.8324 -5.8282 2.2200
Tl -4.6264 -8.7438 4.8508
Tl -5.4468 -8.7471 8.1541
Tl -2.1386 -2.9170 4.0186
Au -2.8482 -2.9198 6.8756
Au -3.9168 -8.7410 1.9938
Sb 0.0000 0.0000 0.0000
```

Excess energy over the best structure of this formula in the dataset ... 0 meV per atom
Symmetry ... No. 166

No. 16
# Y4Ho

A geometry-optimized Y4Ho structure (PBE, Alexandria via LeMat-Bulk).

The structure in extended XYZ format:
```
5
Lattice="-5.5867 0.5516 -0.6554 -0.7502 -5.2382 1.9858 -0.4136 2.0498 5.2509" Properties=species:S:1:pos:R:3 pbc="T T T"
Y -3.0001 1.3007 2.2978
Y 0.0000 0.0000 0.0000
Y -0.5819 -1.5942 3.6184
Y -3.1684 -2.3433 0.6652
Ho -3.3752 -1.3184 3.2907
```

Calculated formation energy ... 0.6904 eV/atom
Excess energy over the best structure of this formula in the dataset ... 665 meV per atom
Symmetry ... No. 221

No. 17
# Li2MgGeO4

A geometry-optimized Li2MgGeO4 structure (PBE, Alexandria via LeMat-Bulk).

The structure in extended XYZ format:
```
32
Lattice="5.1887 0.0000 0.0000 0.0000 6.4872 0.0000 0.0000 0.0000 11.0490" Properties=species:S:1:pos:R:3 pbc="T T T"
O 4.1549 3.0699 3.7263
O 0.8203 1.6458 10.0632
O 4.1297 0.1650 3.7199
O 1.5605 6.3135 1.7982
O 1.0338 6.3135 7.3227
O 1.7740 1.6458 4.5387
O 4.1275 1.6001 6.2539
O 3.4147 4.8894 6.5103
O 1.0612 4.8438 4.7951
O 3.6556 1.6001 0.7294
O 3.6282 3.0699 9.2508
O 3.6534 0.1650 9.2444
O 1.5332 4.8438 10.3196
O 1.0591 3.4086 7.3291
O 4.3684 4.8894 0.9858
O 1.5353 3.4086 1.8046
Li 0.9755 0.0144 3.7254
Li 3.5698 3.2580 1.7991
Li 1.5608 1.6386 0.8451
Li 4.1552 4.8822 4.6794
Li 1.6189 0.0144 9.2499
Li 1.0336 1.6386 6.3696
Li 4.2133 3.2580 7.3236
Li 3.6279 4.8822 10.2039
Mg 1.6258 3.2215 9.2020
Mg 3.5630 6.4651 1.8470
Mg 0.9686 3.2215 3.6775
Mg 4.2201 6.4651 7.3715
Ge 3.5583 1.6192 4.5781
Ge 4.2248 1.6192 10.1026
Ge 1.6304 4.8628 6.4709
Ge 0.9639 4.8628 0.9464
```

Symmetry ... No. 33

No. 18
# PrGd2Ga

A geometry-optimized PrGd2Ga structure (PBE, Alexandria via LeMat-Bulk).

The structure in extended XYZ format:
```
4
Lattice="-4.1748 -1.8928 1.5296 1.7462 -0.2395 4.4696 -1.6749 4.4142 0.8908" Properties=species:S:1:pos:R:3 pbc="T T T"
Ga -2.0874 -0.9464 0.7648
Gd -0.8375 2.2071 0.4454
Gd 0.8731 -0.1197 2.2348
Pr -2.0517 1.1410 3.4450
```

Calculated formation energy ... -0.2522 eV/atom
Excess energy over the best structure of this formula in the dataset ... 31 meV per atom
Symmetry ... No. 123

No. 19
# Rb2PtNCl6

A geometry-optimized Rb2PtNCl6 structure (PBE, Alexandria via LeMat-Bulk).

The structure in extended XYZ format:
```
10
Lattice="7.7534 0.0000 0.0000 0.0000 7.7534 0.0000 3.8767 3.8767 4.5469" Properties=species:S:1:pos:R:3 pbc="T T T"
N 3.8767 3.8767 0.0000
Cl 6.0944 1.6591 0.0000
Cl 6.0944 6.0944 0.0000
Cl 7.7534 7.7534 2.5259
Cl 1.6591 1.6591 0.0000
Cl 1.6591 6.0944 0.0000
Cl 3.8767 3.8767 2.0210
Rb 3.8767 7.7534 2.2735
Rb 7.7534 3.8767 2.2735
Pt 0.0000 0.0000 0.0000
```

Symmetry ... No. 139

No. 20
# ZrCu2Ru

A geometry-optimized ZrCu2Ru structure (PBE, Alexandria via LeMat-Bulk).

The structure in extended XYZ format:
```
4
Lattice="9.3153 -0.0013 -0.0008 8.9056 2.7321 -0.0008 8.9056 1.3347 2.3839" Properties=species:S:1:pos:R:3 pbc="T T T"
Zr 20.3448 3.0491 1.7868
Cu 26.9634 4.0410 2.3680
Cu 13.7263 2.0572 1.2055
Ru 6.7816 1.0164 0.5956
```

Calculated formation energy ... 0.2992 eV/atom
Excess energy over the best structure of this formula in the dataset ... 522 meV per atom
Symmetry ... No. 166

No. 21
# CsAg2Br

A geometry-optimized CsAg2Br structure (PBE, Alexandria via LeMat-Bulk).

The structure in extended XYZ format:
```
4
Lattice="4.2128 2.0919 3.2510 -1.2414 3.0625 4.6661 0.9583 -2.1887 5.1946" Properties=species:S:1:pos:R:3 pbc="T T T"
Ag 0.9824 0.7414 3.2779
Ag 2.9473 2.2243 9.8338
Br 0.0000 0.0000 0.0000
Cs 1.9649 1.4829 6.5559
```

Symmetry ... No. 225

No. 22
# MgCdW2

A geometry-optimized MgCdW2 structure (PBE, Alexandria via LeMat-Bulk).

The structure in extended XYZ format:
```
4
Lattice="-4.6078 0.1644 -0.0783 -2.2473 -0.2282 -4.0203 -2.4239 -3.7727 -1.0757" Properties=species:S:1:pos:R:3 pbc="T T T"
W -6.9593 -2.8774 -3.8808
W -2.3198 -0.9591 -1.2936
Mg 0.0000 0.0000 0.0000
Cd -4.6395 -1.9182 -2.5872
```

Calculated formation energy ... 1.1269 eV/atom
Excess energy over the best structure of this formula in the dataset ... 839 meV per atom
Symmetry ... No. 225

No. 23
# CaIn2H

A geometry-optimized CaIn2H structure (PBE, Alexandria via LeMat-Bulk).

The structure in extended XYZ format:
```
4
Lattice="-0.1342 -4.6635 2.1563 -4.3621 -1.7418 2.0868 -2.5950 -3.8091 -2.2743" Properties=species:S:1:pos:R:3 pbc="T T T"
H 0.0000 0.0000 0.0000
Ca -3.5457 -5.1072 0.9844
In -5.3185 -7.6608 1.4766
In -1.7728 -2.5536 0.4922
```

Excess energy over the best structure of this formula in the dataset ... 291 meV per atom
Symmetry ... No. 225

No. 24
# CoSi2Ag

A geometry-optimized CoSi2Ag structure (PBE, Alexandria via LeMat-Bulk).

The structure in extended XYZ format:
```
4
Lattice="2.8244 0.0000 0.0000 0.0000 4.8639 0.0000 0.0000 0.0000 4.1265" Properties=species:S:1:pos:R:3 pbc="T T T"
Co 0.0000 2.4319 2.0633
Ag 1.4122 0.0000 2.0633
Si 1.4122 2.4319 0.0000
Si 0.0000 0.0000 0.0000
```

Excess energy over the best structure of this formula in the dataset ... 399 meV per atom
Symmetry ... No. 47

| no. | electronic total energy (eV/atom) |
| --- | --- |
| 1 | -5.743 |
| 2 | -4.904 |
| 3 | -3.926 |
| 4 | -5.014 |
| 5 | -4.764 |
| 6 | -2.016 |
| 7 | -8.268 |
| 8 | -5.085 |
| 9 | -4.269 |
| 10 | -4.271 |
| 11 | -2.639 |
| 12 | -7.704 |
| 13 | -6.886 |
| 14 | -7.546 |
| 15 | -2.762 |
| 16 | -5.396 |
| 17 | -5.910 |
| 18 | -9.244 |
| 19 | -3.322 |
| 20 | -6.205 |
| 21 | -1.862 |
| 22 | -5.977 |
| 23 | -2.338 |
| 24 | -4.845 |